[1]
Computed, not measured: a relaxed KZrSc2 crystal at the GGA-PBE level of DFT.

abc: 12.1133 12.1133 12.1133
angles: 15.90 15.90 15.90
Atoms (fractional coordinates):
Sc: 0.9854 0.9854 0.9854
Sc: 0.5146 0.5146 0.5146
Zr: 0.2500 0.2500 0.2500
K: 0.7500 0.7500 0.7500

## Properties
Its total energy is -5.28 eV/atom. For the energy relative to the lowest polymorph listed for this composition, the calculation gives 0.000 eV/atom. Its magnetization is 0.0 μB per cell. As for the energy of formation: 0.296 eV per atom.

[2]
Computed, not measured: a relaxed NaInAgBr6 crystal at the GGA-PBE level of DFT.

abc: 6.6372 7.0259 7.0259
angles: 120.00 90.00 90.00
Site moments in Bohr magnetons follow the coordinates.
Atoms (fractional coordinates):
In: 0.5000 0.6667 0.3333  -0.01
Na: 0.0000 0.3333 0.6667  0.00
Ag: 0.5000 0.0000 0.0000  0.26
Br: 0.2627 0.6904 0.0304  0.09
Br: 0.7373 0.6904 0.6601  0.09
Br: 0.7373 0.9696 0.3096  0.09
Br: 0.2627 0.9696 0.6601  0.09
Br: 0.7373 0.3399 0.0304  0.09
Br: 0.2627 0.3399 0.3096  0.09

## Properties
Its total energy is -2.62 eV/atom. The value obtained for the formation energy from raw total energies is -734 meV per atom. Its magnetization is 1.0 μB per cell.

[3]
Computed, not measured: a relaxed ReHI2O crystal at the GGA-PBE level of DFT.

abc: 5.5857 5.5857 3.7626
angles: 90.00 90.00 90.00
Site moments in Bohr magnetons follow the coordinates.
Atoms (fractional coordinates):
Re: 0.0000 0.0000 0.0000  -0.44
I: 0.5000 0.0000 0.0000  -0.02
I: 0.0000 0.5000 0.0000  -0.02
H: 0.5000 0.5000 0.5000  0.34
O: 0.0000 0.0000 0.5000  0.02

## Properties
Its total energy is -4.52 eV/atom. For the energy relative to the lowest polymorph listed for this composition, the calculation gives 0.000 eV/atom. Its magnetization is 0.3 μB per cell.

[4]
Computed, not measured: a relaxed CrCu2Au crystal at the GGA-PBE level of DFT.

abc: 2.9667 3.4065 5.7125
angles: 90.00 90.00 90.00
Site moments in Bohr magnetons follow the coordinates.
Atoms (fractional coordinates):
Au: 0.0000 0.0000 0.4931  0.07
Cu: 0.5000 0.5000 0.2274  0.03
Cu: 0.0000 0.0000 0.0123  0.10
Cr: 0.5000 0.5000 0.7673  3.35

## Properties
Its total energy is -5.11 eV/atom. Its magnetization is 3.8 μB per cell. As for the energy of formation: 0.165 eV per atom.

[5]
Computed, not measured: a relaxed Ca3MgP crystal at the GGA-PBE level of DFT.

abc: 7.3531 9.6135 4.3612
angles: 90.00 90.00 99.29
Atoms (fractional coordinates):
Ca: 0.1625 0.7038 0.7550
Ca: 0.3664 0.4652 0.2541
Ca: 0.2911 0.1545 0.7541
Ca: 0.4950 0.9159 0.2550
Ca: 0.7975 0.1549 0.7543
Ca: 0.8602 0.4648 0.2544
Mg: 0.9720 0.8989 0.2568
Mg: 0.6848 0.7201 0.7568
P: 0.5607 0.2225 0.2541
P: 0.0968 0.3973 0.7541

## Properties
Its total energy is -3.17 eV/atom. For the energy relative to the lowest polymorph listed for this composition, the calculation gives 0.000 eV/atom. Its magnetization is 0.0 μB per cell. As for the energy of formation: -0.567 eV per atom.

[6]
Computed, not measured: a relaxed KCdGaSn crystal at the GGA-PBE level of DFT.

abc: 5.3361 5.3361 5.3361
angles: 60.00 60.00 60.00
Atoms (fractional coordinates):
K: 0.0000 0.0000 0.0000
Sn: 0.5000 0.5000 0.5000
Cd: 0.7500 0.7500 0.7500
Ga: 0.2500 0.2500 0.2500

## Properties
Its total energy is -2.27 eV/atom. Its magnetization is 0.0 μB per cell. As for the energy of formation: -0.007 eV per atom.

[7]
Computed, not measured: a relaxed ZrP2Ru crystal at the GGA-PBE level of DFT.

abc: 4.4705 4.4705 4.4705
angles: 60.00 60.00 60.00
Site moments in Bohr magnetons follow the coordinates.
Atoms (fractional coordinates):
Zr: 0.7500 0.7500 0.7500  0.04
Ru: 0.5000 0.5000 0.5000  0.40
P: 0.2500 0.2500 0.2500  0.02
P: 0.0000 0.0000 0.0000  0.07

## Properties
Its total energy is -7.25 eV/atom. For the energy relative to the lowest polymorph listed for this composition, the calculation gives 0.736 eV/atom. Its magnetization is 0.6 μB per cell. As for the energy of formation: -0.086 eV per atom.

[8]
Computed, not measured: a relaxed CsRb2PdAu crystal at the GGA-PBE level of DFT.

abc: 6.3428 6.3428 5.4740
angles: 90.00 90.00 90.00
Atoms (fractional coordinates):
Rb: 0.0000 0.5000 0.0000
Rb: 0.5000 0.0000 0.0000
Pd: 0.0000 0.0000 0.0000
Cs: 0.5000 0.5000 0.5000
Au: 0.0000 0.0000 0.5000

## Properties
Its total energy is -2.23 eV/atom. For the energy relative to the lowest polymorph listed for this composition, the calculation gives 0.000 eV/atom. Its magnetization is 0.0 μB per cell. As for the energy of formation: 0.020 eV per atom.

[9]
Computed, not measured: a relaxed YErGa crystal at the GGA-PBE level of DFT.

abc: 3.6547 4.9530 4.9530
angles: 120.00 90.00 90.00
Atoms (fractional coordinates):
Ga: 0.3092 0.3333 0.6667
Y: 0.6123 0.6667 0.3333
Er: 0.0785 0.0000 0.0000

## Properties
Its total energy is -4.96 eV/atom. For the energy relative to the lowest polymorph listed for this composition, the calculation gives 0.142 eV/atom. Its magnetization is 0.0 μB per cell. As for the energy of formation: -0.279 eV per atom.

[10]
Computed, not measured: a relaxed SrPm2TiN4 crystal at the GGA-PBE level of DFT.

abc: 3.5658 6.3940 12.2264
angles: 90.00 90.00 106.19
Atoms (fractional coordinates):
Pm: 0.3704 0.7407 0.9615
Pm: 0.6296 0.2593 0.0385
Pm: 0.6296 0.2593 0.4615
Pm: 0.3704 0.7407 0.5385
Ti: 0.8308 0.6615 0.7500
Ti: 0.1692 0.3385 0.2500
N: 0.0000 0.0000 0.5000
N: 0.7408 0.4815 0.8747
N: 0.4108 0.8216 0.7500
N: 0.7408 0.4815 0.6253
N: 0.5892 0.1784 0.2500
N: 0.0000 0.0000 0.0000
N: 0.2592 0.5185 0.1253
N: 0.2592 0.5185 0.3747
Sr: 0.1028 0.2057 0.7500
Sr: 0.8972 0.7943 0.2500

## Properties
Its total energy is -7.87 eV/atom. The value obtained for the formation energy from raw total energies is -1326 meV per atom. Its magnetization is 0.0 μB per cell.

[11]
Computed, not measured: a relaxed LaSc3Te6 crystal at the GGA-PBE level of DFT.

abc: 4.2709 12.1355 12.4224
angles: 109.33 90.00 90.00
Atoms (fractional coordinates):
Te: 0.7500 0.9148 0.0874
Te: 0.2500 0.2034 0.2481
Te: 0.7500 0.4801 0.6160
Te: 0.2500 0.0852 0.9126
Te: 0.2500 0.5199 0.3840
Te: 0.7500 0.1259 0.4681
Te: 0.7500 0.3887 0.0579
Te: 0.2500 0.8741 0.5319
Te: 0.7500 0.7966 0.7519
Te: 0.2500 0.2726 0.7284
Te: 0.7500 0.7274 0.2716
Te: 0.2500 0.6113 0.9421
Sc: 0.7500 0.6798 0.5019
Sc: 0.7500 0.4428 0.8400
Sc: 0.2500 0.3202 0.4981
Sc: 0.2500 0.5572 0.1600
Sc: 0.2500 0.8447 0.9142
Sc: 0.7500 0.1553 0.0858
La: 0.7500 0.0515 0.7017
La: 0.2500 0.9485 0.2983

## Properties
Its total energy is -5.57 eV/atom. The value obtained for the formation energy from raw total energies is -1297 meV per atom. Its magnetization is 0.0 μB per cell.

[12]
Computed, not measured: a relaxed HoAlFe crystal at the GGA-PBE level of DFT.

abc: 4.9687 5.3892 9.4876
angles: 83.07 74.82 62.55
Site moments in Bohr magnetons follow the coordinates.
Atoms (fractional coordinates):
Al: 0.4104 0.0000 0.1792  -0.02
Al: 0.5896 0.0000 0.8208  -0.02
Al: 0.3396 0.5000 0.3208  -0.02
Al: 0.1604 0.5000 0.6792  -0.02
Ho: 0.8457 0.3086 0.0000  -0.19
Ho: 0.9043 0.1914 0.5000  -0.19
Ho: 0.5957 0.8086 0.5000  -0.19
Ho: 0.1543 0.6914 0.0000  -0.19
Fe: 0.8761 0.5000 0.2479  1.36
Fe: 0.6239 0.5000 0.7521  1.36
Fe: 0.1261 0.0000 0.7479  1.36
Fe: 0.8739 0.0000 0.2521  1.36

## Properties
Its total energy is -5.65 eV/atom. Its magnetization is 4.5 μB per cell. As for the energy of formation: -0.055 eV per atom.

What did the fourth record say?
Computed, not measured: a relaxed CrCu2Au crystal at the GGA-PBE level of DFT.

abc: 2.9667 3.4065 5.7125
angles: 90.00 90.00 90.00
Site moments in Bohr magnetons follow the coordinates.
Atoms (fractional coordinates):
Au: 0.0000 0.0000 0.4931  0.07
Cu: 0.5000 0.5000 0.2274  0.03
Cu: 0.0000 0.0000 0.0123  0.10
Cr: 0.5000 0.5000 0.7673  3.35

## Properties
Its total energy is -5.11 eV/atom. Its magnetization is 3.8 μB per cell. As for the energy of formation: 0.165 eV per atom.

Question: The highest magnetization belongs to which entry?
Answer: HoAlFe